Compound: Ba2ZrZn
Source: Alexandria
Functional: PBE
Structure: optimized geometry

The structure in POSCAR format:
```
Ba2ZrZn
1.0
-8.880 3.412 -3.031
-9.249 -2.270 -2.996
8.191 -0.238 5.703
Ba Zn Zr
2 1 1
direct
0.902 0.902 0.000
0.598 0.598 0.000
0.750 0.250 0.500
0.250 0.750 0.500
```

Calculated values
* ΔE_f: 262.9 meV per atom
* E: -3.154 eV/atom
* space-group type: No. 71

Compound: BaZrZn
Source: Alexandria
Functional: PBE
Structure: optimized geometry

The structure in POSCAR format:
```
BaZrZn
1.0
3.597 0.000 0.000
-1.798 3.115 0.000
0.000 0.000 7.764
Ba Zn Zr
1 1 1
direct
0.000 0.000 0.019
0.333 0.667 0.366
0.667 0.333 0.615
```

Calculated values
* ΔE_f: 382.0 meV per atom
* E: -3.533 eV/atom
* space-group type: No. 156

Compound: Ba2ZrZn
Source: Alexandria
Functional: PBE
Structure: optimized geometry

The structure in POSCAR format:
```
Ba2ZrZn
1.0
5.683 0.000 0.000
2.842 4.922 0.000
2.842 1.641 4.640
Ba Zn Zr
2 1 1
direct
0.250 0.250 0.250
0.000 0.000 0.000
0.500 0.500 0.500
0.750 0.750 0.750
```

Calculated values
* ΔE_f: 541.8 meV per atom
* E: -2.875 eV/atom
* space-group type: No. 216

What did we get for M_tot? Answer: 1.1, 0.5, 2.4 μB per formula unit, in the order shown.